[1]
The following is a DFT calculation (PBE-GGA) of crystalline Pm8AgGe5 at its relaxed geometry.

The structure belongs to space group I-4 (No. 82); the cell edges are 9.103, 9.103 and 9.158 Å and the angles 90.00°, 90.00° and 90.00°. The distinct sites, in fractional coordinates, are Pm at (0.065, 0.323, 0.058), Pm at (0.072, 0.188, 0.684), Ag at (0.000, 0.000, 0.000), Ge at (0.000, 0.500, 0.750) and Ge at (0.127, 0.249, 0.371).


[2]
The following is a DFT calculation (PBE-GGA) of crystalline Pm2AgGe at its relaxed geometry.

The structure belongs to space group Fm-3m (No. 225); the cell edges are 7.374, 7.374 and 7.374 Å and the angles 90.00°, 90.00° and 90.00°. The distinct sites, in fractional coordinates, are Pm at (0.250, 0.250, 0.250), Ag at (0.000, 0.000, 0.000) and Ge at (0.000, 0.000, 0.500).


[3]
The following is a DFT calculation (PBE-GGA) of crystalline Pm3Ag2Ge4 at its relaxed geometry.

The structure belongs to space group C2/m (No. 12); the cell edges are 11.046, 4.471 and 8.538 Å and the angles 90.00°, 104.67° and 90.00°. The distinct sites, in fractional coordinates, are Pm at (0.000, 0.000, 0.000), Pm at (0.161, 0.500, 0.672), Ag at (0.117, 0.500, 0.284), Ge at (0.062, 0.000, 0.395) and Ge at (0.214, 0.500, 0.043).


no.,raw total energy (eV per atom)
1,-5.266
2,-4.766
3,-4.895